# PBE LiIn2P, relaxed
data_LiIn2P
_chemical_formula_sum 'Li1 In2 P1'
_cell_length_a 5.512
_cell_length_b 5.512
_cell_length_c 5.512
_cell_angle_alpha 134.44
_cell_angle_beta 134.44
_cell_angle_gamma 66.41
_symmetry_space_group_name_H-M 'P 1'
_symmetry_Int_Tables_number 1
loop_
_symmetry_equiv_pos_as_xyz
'x,y,z'
loop_
_atom_site_label
_atom_site_fract_x
_atom_site_fract_y
_atom_site_fract_z
P1 0.750 0.250 0.500
In1 0.000 0.000 0.000
In2 0.500 0.500 0.000
Li1 0.250 0.750 0.500
# Space group: I4/mmm, No. 139
# Crystal system: tetragonal
# Energy relative to the elements (kJ per mole of atoms): 1


# PBE Cu5RhCl12, relaxed
data_Cu5RhCl12
_chemical_formula_sum 'Cu5 Rh1 Cl12'
_cell_length_a 6.334
_cell_length_b 6.334
_cell_length_c 12.522
_cell_angle_alpha 85.19
_cell_angle_beta 85.19
_cell_angle_gamma 123.34
_symmetry_space_group_name_H-M 'P 1'
_symmetry_Int_Tables_number 1
loop_
_symmetry_equiv_pos_as_xyz
'x,y,z'
loop_
_atom_site_label
_atom_site_fract_x
_atom_site_fract_y
_atom_site_fract_z
Cl1 0.155 0.155 0.608
Cl2 0.635 0.940 0.102
Cl3 0.512 0.178 0.391
Cl4 0.365 0.060 0.898
Cl5 0.734 0.734 0.883
Cl6 0.178 0.512 0.391
Cl7 0.266 0.266 0.117
Cl8 0.822 0.488 0.609
Cl9 0.845 0.845 0.392
Cl10 0.060 0.365 0.898
Cl11 0.940 0.635 0.102
Cl12 0.488 0.822 0.609
Rh1 0.000 0.000 0.000
Cu1 0.343 0.657 0.000
Cu2 0.500 0.500 0.500
Cu3 0.833 0.167 0.500
Cu4 0.657 0.343 0.000
Cu5 0.167 0.833 0.500
# ΔE_f (raw) (eV per atom): -0.48
# Space group: C2/m, No. 12
# Crystal system: monoclinic


# PBE YFe2Br, relaxed
data_YFe2Br
_chemical_formula_sum 'Y1 Fe2 Br1'
_cell_length_a 4.712
_cell_length_b 4.712
_cell_length_c 4.712
_cell_angle_alpha 60.00
_cell_angle_beta 60.00
_cell_angle_gamma 60.00
_symmetry_space_group_name_H-M 'P 1'
_symmetry_Int_Tables_number 1
loop_
_symmetry_equiv_pos_as_xyz
'x,y,z'
loop_
_atom_site_label
_atom_site_fract_x
_atom_site_fract_y
_atom_site_fract_z
Br1 0.000 0.000 0.000
Fe1 0.250 0.250 0.250
Fe2 0.750 0.750 0.750
Y1 0.500 0.500 0.500
# ΔE_f (raw) (eV per atom): 0.67
# Space group: Fm-3m, No. 225
# Energy above the most stable polymorph in this dataset (eV/f.u.): 3.18
# Crystal system: cubic


# PBE SmTm2ZrP4, relaxed
data_SmTm2ZrP4
_chemical_formula_sum 'Sm1 Tm2 Zr1 P4'
_cell_length_a 3.925
_cell_length_b 6.810
_cell_length_c 6.792
_cell_angle_alpha 109.27
_cell_angle_beta 90.00
_cell_angle_gamma 90.00
_symmetry_space_group_name_H-M 'P 1'
_symmetry_Int_Tables_number 1
loop_
_symmetry_equiv_pos_as_xyz
'x,y,z'
loop_
_atom_site_label
_atom_site_fract_x
_atom_site_fract_y
_atom_site_fract_z
P1 0.500 0.761 0.755
P2 0.000 0.239 0.748
P3 0.500 0.239 0.245
P4 0.000 0.761 0.252
Tm1 0.500 0.000 0.500
Tm2 0.000 0.500 0.500
Sm1 0.500 0.500 0.000
Zr1 0.000 0.000 0.000
# Space group: P2/m, No. 10
# Crystal system: monoclinic
# Energy relative to the elements (kJ per mole of atoms): -147